1.
FeCo2Ag: PBEsol geometry, meta-GGA SCAN.

Cell lengths 4.393, 4.393, 4.537 Å; angles 101.35, 101.35, 34.77 degrees
Fractional positions:
Fe: 0.000 0.000 0.000
Co: 0.260 0.260 0.778
Co: 0.740 0.740 0.222
Ag: 0.500 0.500 0.500

## Properties
- Magnetic moment: 6.3 μB/f.u.


2.
ReOsPt2: PBEsol geometry, meta-GGA SCAN.

Cell lengths 4.726, 2.737, 4.751 Å; angles 90.00, 109.32, 90.00 degrees
Fractional positions:
Re: 0.000 0.000 0.000
Os: 0.500 0.500 0.000
Pt: 0.000 0.500 0.500
Pt: 0.500 0.000 0.500

## Properties
- Magnetic moment: 0.0 μB/f.u.


For the records above, the corresponding ΔE_f values read 1.174 0.318 eV per formula unit.